VASP calculation (PBE) on a geometry-optimized Rb2NbOsCl6 structure.

Cell: 7.117 7.117 7.117 Å, 120.09 120.09 89.84°
Fractional positions:
Rb: 0.250 0.750 0.500
Rb: 0.750 0.250 0.500
Nb: 0.000 0.000 0.000
Os: 0.500 0.500 0.000
Cl: 0.256 0.256 0.000
Cl: 0.257 0.257 0.513
Cl: 0.257 0.743 0.000
Cl: 0.743 0.257 0.000
Cl: 0.743 0.743 0.487
Cl: 0.744 0.744 0.000

Summary:
Uncorrected formation energy (kJ/mol of formula units): -810.2
Space group: I4/mmm, No. 139